DFT (PBE) results for a geometry-optimized Sm2LuRu structure.

Properties
As for the total energy: -5.6281 eV per atom. Its crystal system is trigonal.

POSCAR file:
```
Sm2LuRu
1.0
1.7672 1.0203 10.6308
-1.7672 1.0203 10.6308
0.0000 -2.0406 10.6308
Sm Lu Ru
2 1 1
Direct
0.1057 0.1057 0.1057
0.8943 0.8943 0.8943
0.0000 0.0000 0.0000
0.5000 0.5000 0.5000
```

DFT (PBE) results for a geometry-optimized Hf12Al3Cd structure.

Properties
As for the total energy: -8.4034 eV per atom. Its crystal system is tetragonal.

POSCAR file:
```
Hf12Al3Cd
1.0
4.3572 0.0000 0.0000
0.0000 4.3572 0.0000
0.0000 0.0000 17.4098
Hf Al Cd
12 3 1
Direct
0.0000 0.0000 0.0000
0.0000 0.0000 0.2479
0.0000 0.0000 0.5000
0.0000 0.0000 0.7521
0.0000 0.5000 0.1238
0.0000 0.5000 0.3706
0.0000 0.5000 0.6294
0.0000 0.5000 0.8762
0.5000 0.0000 0.1238
0.5000 0.0000 0.3706
0.5000 0.0000 0.6294
0.5000 0.0000 0.8762
0.5000 0.5000 0.0000
0.5000 0.5000 0.2488
0.5000 0.5000 0.7512
0.5000 0.5000 0.5000
```

DFT (PBE) results for a geometry-optimized Li5Tl5In2 structure.

Properties
As for the total energy: -2.4008 eV per atom. Its crystal system is monoclinic.

POSCAR file:
```
Li5Tl5In2
1.0
7.5618 -1.8122 0.0000
7.5618 1.8122 0.0000
-4.5100 0.0000 9.9740
Li Tl In
5 5 2
Direct
0.0000 0.0000 0.0000
0.0859 0.0859 0.7488
0.1592 0.1592 0.4816
0.8408 0.8408 0.5184
0.9141 0.9141 0.2512
0.2602 0.2602 0.2813
0.3434 0.3434 0.0042
0.5000 0.5000 0.5000
0.6566 0.6566 0.9958
0.7398 0.7398 0.7187
0.4229 0.4229 0.7542
0.5771 0.5771 0.2458
```

DFT (PBE) results for a geometry-optimized CeBi2Pd9 structure.

Properties
As for the total energy: -5.4661 eV per atom. Its crystal system is tetragonal.

POSCAR file:
```
CeBi2Pd9
1.0
4.1635 0.0000 0.0000
0.0000 4.1635 0.0000
0.0000 0.0000 12.3248
Ce Bi Pd
1 2 9
Direct
0.0000 0.0000 0.0000
0.0000 0.0000 0.3353
0.0000 0.0000 0.6647
0.0000 0.5000 0.1640
0.0000 0.5000 0.5000
0.0000 0.5000 0.8360
0.5000 0.0000 0.1640
0.5000 0.0000 0.5000
0.5000 0.0000 0.8360
0.5000 0.5000 0.0000
0.5000 0.5000 0.3349
0.5000 0.5000 0.6651
```

DFT (PBE) results for a geometry-optimized GaH2I structure.

Properties
As for the total energy: -2.6476 eV per atom. Its crystal system is cubic.

POSCAR file:
```
GaH2I
1.0
0.0000 4.0501 4.0501
4.0501 0.0000 4.0501
4.0501 4.0501 0.0000
Ga H I
2 4 2
Direct
0.1250 0.1250 0.1250
0.8750 0.8750 0.8750
0.0000 0.0000 0.0000
0.0000 0.0000 0.5000
0.0000 0.5000 0.0000
0.5000 0.0000 0.0000
0.3750 0.3750 0.3750
0.6250 0.6250 0.6250
```

DFT (PBE) results for a geometry-optimized Na3Ga7Pt4 structure.

Properties
As for the total energy: -3.9971 eV per atom. Its crystal system is monoclinic.

POSCAR file:
```
Na3Ga7Pt4
1.0
7.9105 -2.1551 0.0000
7.9105 2.1551 0.0000
-5.1542 0.0000 7.6293
Na Ga Pt
3 7 4
Direct
0.0000 0.0000 0.0000
0.3050 0.3050 0.3023
0.6950 0.6950 0.6977
0.0000 0.0000 0.5000
0.1587 0.1587 0.4305
0.3127 0.3127 0.9612
0.4965 0.4965 0.2838
0.5035 0.5035 0.7162
0.6873 0.6873 0.0388
0.8413 0.8413 0.5695
0.1196 0.1196 0.8378
0.3414 0.3414 0.7127
0.6586 0.6586 0.2873
0.8804 0.8804 0.1622
```

DFT (PBE) results for a geometry-optimized MnTc3Rh structure.

Properties
As for the total energy: -8.3300 eV per atom. Its crystal system is cubic.

POSCAR file:
```
MnTc3Rh
1.0
4.3470 0.0000 0.0000
0.0000 4.3470 0.0000
0.0000 0.0000 4.3470
Mn Tc Rh
1 3 1
Direct
0.0000 0.0000 0.0000
0.0000 0.0000 0.5000
0.0000 0.5000 0.0000
0.5000 0.0000 0.0000
0.5000 0.5000 0.5000
```

DFT (PBE) results for a geometry-optimized MgBe2W structure.

Properties
As for the total energy: -5.0472 eV per atom. Its crystal system is trigonal.

POSCAR file:
```
MgBe2W
1.0
1.3907 0.8029 8.4809
-1.3907 0.8029 8.4809
0.0000 -1.6058 8.4809
Mg Be W
1 2 1
Direct
0.0000 0.0000 0.0000
0.2445 0.2445 0.2445
0.7555 0.7555 0.7555
0.5000 0.5000 0.5000
```

DFT (PBE) results for a geometry-optimized Ca4AlHg3 structure.

Properties
As for the total energy: -2.0428 eV per atom. Its crystal system is tetragonal.

POSCAR file:
```
Ca4AlHg3
1.0
3.7605 0.0000 0.0000
0.0000 3.7605 0.0000
0.0000 0.0000 15.1568
Ca Al Hg
4 1 3
Direct
0.0000 0.0000 0.1216
0.0000 0.0000 0.3728
0.0000 0.0000 0.6272
0.0000 0.0000 0.8784
0.5000 0.5000 0.0000
0.5000 0.5000 0.2448
0.5000 0.5000 0.5000
0.5000 0.5000 0.7552
```

DFT (PBE) results for a geometry-optimized K4Pu3VSe8 structure.

Properties
As for the total energy: -6.5580 eV per atom. The calculation puts the raw formation energy at -29.61 kcal/mol of atoms. Its crystal system is trigonal.

POSCAR file:
```
K4Pu3VSe8
1.0
4.1783 2.4124 7.6299
-4.1783 2.4124 7.6299
0.0000 -4.8247 7.6299
K Pu V Se
4 3 1 8
Direct
0.0000 0.0000 0.0000
0.0000 0.5000 0.5000
0.5000 0.0000 0.5000
0.5000 0.5000 0.0000
0.0000 0.0000 0.5000
0.0000 0.5000 0.0000
0.5000 0.0000 0.0000
0.5000 0.5000 0.5000
0.2356 0.2356 0.2356
0.2506 0.7232 0.7232
0.2768 0.2768 0.7494
0.2768 0.7494 0.2768
0.7232 0.2506 0.7232
0.7232 0.7232 0.2506
0.7494 0.2768 0.2768
0.7644 0.7644 0.7644
```

DFT (PBE) results for a geometry-optimized MgTc2HRu structure.

Properties
As for the total energy: -6.0383 eV per atom. Its crystal system is tetragonal.

POSCAR file:
```
MgTc2HRu
1.0
4.8443 0.0000 0.0000
0.0000 4.8443 0.0000
0.0000 0.0000 3.1846
Mg Tc H Ru
1 2 1 1
Direct
0.0000 0.0000 0.0000
0.0000 0.5000 0.5000
0.5000 0.0000 0.5000
0.5000 0.5000 0.0000
0.5000 0.5000 0.5000
```

DFT (PBE) results for a geometry-optimized Pr3TlIn2 structure.

Properties
As for the total energy: -4.1545 eV per atom. Its crystal system is tetragonal.

POSCAR file:
```
Pr3TlIn2
1.0
3.7386 0.0000 0.0000
0.0000 3.7386 0.0000
0.0000 0.0000 12.8569
Pr Tl In
3 1 2
Direct
0.0000 0.0000 0.0000
0.0000 0.0000 0.3315
0.0000 0.0000 0.6685
0.5000 0.5000 0.5000
0.5000 0.5000 0.1664
0.5000 0.5000 0.8336
```